(1)
A plane-wave DFT calculation with PBE was carried out for a geometry-optimized BaSn structure.

```
12
Lattice="-7.919 6.199 -5.953 -2.856 -10.446 4.393 -1.399 2.073 4.019" Properties=species:S:1:pos:R:3 pbc="T T T"
Ba -8.512 -0.913 -1.099
Ba -4.876 -5.702 5.424
Ba -3.933 0.892 -0.435
Ba -3.662 -1.262 3.557
Ba -7.298 3.527 -2.966
Ba -8.241 -3.067 2.894
Sn -6.543 -6.158 2.292
Sn -6.668 0.190 1.762
Sn -2.631 -4.616 2.858
Sn -5.631 3.984 0.167
Sn -5.506 -2.365 0.697
Sn -9.543 2.441 -0.400
```

Computed properties:
Its total magnetization is 0.0 Bohr magnetons per cell. The calculation puts the formation energy at -90 kJ/mol of formula units.


(2)
A plane-wave DFT calculation with PBE was carried out for a geometry-optimized Li4Ga5Si2 structure.

```
11
Lattice="-0.203 1.600 2.439 -6.874 -0.056 -0.535 0.290 -7.346 4.842" Properties=species:S:1:pos:R:3 pbc="T T T"
Li -4.892 -3.348 3.542
Li -1.047 -5.720 5.417
Li -1.895 -2.455 3.205
Li -5.740 -0.082 1.329
Ga -3.794 -2.257 1.165
Ga -1.182 -1.178 0.674
Ga -3.437 -0.028 -0.267
Ga -5.402 -6.224 3.633
Ga -2.790 -5.145 3.143
Si -0.239 -4.630 3.017
Si -6.345 -2.773 1.291
```

Computed properties:
Its uncorrected formation energy is -167 kJ/mol of formula units. Its total magnetization is 0.0 Bohr magnetons per cell.


(3)
A plane-wave DFT calculation with PBE was carried out for a geometry-optimized TlRuRhO6 structure.

```
9
Lattice="5.314 0.000 0.000 2.657 4.602 0.000 0.000 0.000 4.887" Properties=species:S:1:pos:R:3 pbc="T T T"
Tl 5.314 0.000 4.887
Ru 5.314 3.068 2.444
Rh 2.657 1.534 2.444
O 6.299 1.767 1.392
O 4.680 4.572 3.496
O 4.329 1.767 3.496
O 6.934 2.865 3.496
O 3.694 2.866 1.392
O 5.949 4.572 1.392
```

Computed properties:
Its uncorrected formation energy is -641 kJ/mol of formula units. Its total magnetization is 0.5 Bohr magnetons per cell.


(4)
A plane-wave DFT calculation with PBE was carried out for a geometry-optimized YMo2 structure.

```
6
Lattice="-2.783 0.274 1.625 2.742 -0.650 1.588 2.271 13.517 1.611" Properties=species:S:1:pos:R:3 pbc="T T T"
Y 0.463 8.326 2.608
Y 1.767 4.816 2.215
Mo 1.159 12.470 3.102
Mo -0.478 2.724 1.941
Mo 1.071 0.672 1.721
Mo 2.708 10.417 2.882
```

Computed properties:
Its total magnetization is 0.0 Bohr magnetons per cell. The calculation puts the formation energy at 143 kJ/mol of formula units.


(5)
A plane-wave DFT calculation with PBE was carried out for a geometry-optimized La5Dy3Se8 structure.

```
16
Lattice="-1.637 -7.171 4.121 -1.640 -7.059 -4.309 5.666 -6.299 -0.086" Properties=species:S:1:pos:R:3 pbc="T T T"
La -0.818 -3.585 2.061
La -1.638 -7.115 -0.094
La 0.000 0.000 0.000
La -0.820 -3.529 -2.155
La 1.195 -10.264 -0.137
Dy 2.015 -6.735 2.018
Dy 2.833 -3.149 -0.043
Dy 2.013 -6.679 -2.198
Se 3.353 -8.196 -0.110
Se 2.511 -11.821 -2.323
Se 2.513 -11.878 2.006
Se 1.662 -15.366 -0.205
Se -0.964 -12.332 -0.164
Se -0.122 -8.707 2.049
Se -0.124 -8.650 -2.280
Se 0.727 -5.162 -0.069
```

Computed properties:
Its uncorrected formation energy is -2936 kJ/mol of formula units. Its total magnetization is 0.0 Bohr magnetons per cell.


(6)
A plane-wave DFT calculation with PBE was carried out for a geometry-optimized Cr2W structure.

```
9
Lattice="-2.365 5.316 -1.521 0.437 -4.380 -4.098 -3.737 -1.360 1.055" Properties=species:S:1:pos:R:3 pbc="T T T"
Cr 0.103 -1.032 -0.966
Cr -1.631 -3.056 -1.696
Cr -0.557 1.253 -0.358
Cr -1.473 0.716 -4.295
Cr -3.152 2.204 -0.298
Cr -2.750 -0.252 -2.043
W -1.869 -0.680 0.528
W -0.497 -1.148 -3.239
W -1.431 2.084 -2.380
```

Computed properties:
Its total magnetization is 1.6 Bohr magnetons per cell. The calculation puts the energy above the lowest structure with this stoichiometry at 0.687 eV/atom. The calculation puts the formation energy at 214 kJ/mol of formula units.


(7)
A plane-wave DFT calculation with PBE was carried out for a geometry-optimized Sc5Be structure.

```
6
Lattice="5.807 0.002 -0.008 4.871 3.161 -0.008 2.936 0.870 7.138" Properties=species:S:1:pos:R:3 pbc="T T T"
Be 10.542 3.122 0.382
Sc 4.274 1.266 2.438
Sc 9.073 2.687 5.479
Sc 7.046 2.087 1.338
Sc 12.014 3.558 3.949
Sc 6.300 1.866 6.577
```

Computed properties:
Its total magnetization is 0.0 Bohr magnetons per cell. The calculation puts the energy above the lowest structure with this stoichiometry at 0.002 eV/atom. The calculation puts the formation energy at 12 kJ/mol of formula units.


(8)
A plane-wave DFT calculation with PBE was carried out for a geometry-optimized RbNa2Ta structure.

```
4
Lattice="-0.336 4.174 4.124 -1.655 5.447 -1.460 -5.245 2.033 1.702" Properties=species:S:1:pos:R:3 pbc="T T T"
Na -1.809 2.913 1.092
Na -5.428 8.740 3.275
Rb 0.000 0.000 0.000
Ta -3.618 5.827 2.183
```

Computed properties:
Its total magnetization is 4.5 Bohr magnetons per cell. The calculation puts the energy above the lowest structure with this stoichiometry at 0.000 eV/atom. The calculation puts the formation energy at 526 kJ/mol of formula units.


(9)
A plane-wave DFT calculation with PBE was carried out for a geometry-optimized MgBeSi3 structure.

```
5
Lattice="4.381 0.000 0.000 0.000 4.381 0.000 0.000 0.000 4.381" Properties=species:S:1:pos:R:3 pbc="T T T"
Be 0.000 0.000 0.000
Si 0.000 2.191 0.000
Si 0.000 0.000 2.191
Si 2.191 0.000 0.000
Mg 2.191 2.191 2.191
```

Computed properties:
Its uncorrected formation energy is 280 kJ/mol of formula units. Its total magnetization is 0.0 Bohr magnetons per cell. The calculation puts the energy above the lowest structure with this stoichiometry at 0.000 eV/atom.


(10)
A plane-wave DFT calculation with PBE was carried out for a geometry-optimized Cs2Ag2PdF7 structure.

```
12
Lattice="4.853 -0.247 -0.346 -0.241 4.854 -0.346 1.359 1.357 10.537" Properties=species:S:1:pos:R:3 pbc="T T T"
Cs 3.998 3.993 3.205
Cs 1.973 1.971 6.641
Ag 4.205 4.200 8.269
Ag 1.766 1.764 1.577
Pd 0.000 0.000 0.000
F 2.306 2.303 -0.346
F 1.640 1.638 3.738
F 4.331 4.326 6.108
F 4.011 0.794 1.164
F 0.799 4.010 1.164
F 5.172 1.953 8.682
F 1.960 5.170 8.682
```

Computed properties:
Its uncorrected formation energy is -1886 kJ/mol of formula units. Its total magnetization is 0.0 Bohr magnetons per cell.


(11)
A plane-wave DFT calculation with PBE was carried out for a geometry-optimized CsRbNa2In structure.

```
5
Lattice="6.390 0.000 0.000 0.000 6.390 0.000 0.000 0.000 7.179" Properties=species:S:1:pos:R:3 pbc="T T T"
Cs 0.000 0.000 3.589
Na 0.000 3.195 0.000
Na 3.195 0.000 0.000
Rb 3.195 3.195 3.589
In 0.000 0.000 0.000
```

Computed properties:
Its total magnetization is 0.0 Bohr magnetons per cell. The calculation puts the energy above the lowest structure with this stoichiometry at 0.035 eV/atom. The calculation puts the formation energy at 40 kJ/mol of formula units.


(12)
A plane-wave DFT calculation with PBE was carried out for a geometry-optimized KDy2Br2F5 structure.

```
20
Lattice="-2.983 1.689 -0.676 -4.050 -3.726 8.564 3.418 8.095 5.139" Properties=species:S:1:pos:R:3 pbc="T T T"
K 0.000 0.000 0.000
K -0.316 2.185 6.851
Dy 1.629 4.603 4.309
Dy -2.261 -0.233 9.393
Dy 0.444 4.731 9.855
Dy -1.077 -0.362 3.847
Br -2.132 -1.125 6.598
Br 1.500 5.494 7.105
Br 0.447 2.050 3.148
Br -1.079 2.319 10.554
F -2.192 0.585 2.106
F -1.423 5.473 10.921
F 0.795 6.718 4.240
F -3.040 1.510 8.157
F -4.411 -0.660 8.786
F -0.575 4.548 4.869
F -1.307 4.671 8.406
F -2.308 1.387 4.620
F -3.517 -1.019 3.944
F 0.217 4.892 2.231
```

Computed properties:
Its uncorrected formation energy is -3020 kJ/mol of formula units. Its total magnetization is 0.0 Bohr magnetons per cell.


total magnetization of number 12 (KDy2Br2F5)? 0.0 Bohr magnetons per cell


Among the records above, which one has the highest total magnetization? RbNa2Ta


Look up the total magnetization of the ninth one. 0.0 Bohr magnetons per cell